Below is an optimized crystal structure of V2NiCN, with properties calculated at the PBE-GGA level.

The structure in CIF format:
```
data_V2NiCN
_chemical_formula_sum 'V2 Ni1 C1 N1'
_space_group_name_H-M_alt 'P 1'
_space_group_IT_number 1
_cell_length_a 3.849
_cell_length_b 3.533
_cell_length_c 3.849
_cell_angle_alpha 90.00
_cell_angle_beta 90.00
_cell_angle_gamma 90.00
loop_
_space_group_symop_operation_xyz
'x,y,z'
loop_
_atom_site_label
_atom_site_type_symbol
_atom_site_fract_x
_atom_site_fract_y
_atom_site_fract_z
C1 C 0.500 0.500 0.500
V1 V 0.000 0.000 0.500
V2 V 0.500 0.000 0.000
Ni1 Ni 0.000 0.500 0.000
N1 N 0.000 0.000 0.000
```

* space group: P4/mmm, No. 123
* formation energy (no corrections): 0.3318 eV per atom


Below is an optimized crystal structure of HfCo, with properties calculated at the PBE-GGA level.

The structure in CIF format:
```
data_HfCo
_chemical_formula_sum 'Hf2 Co2'
_space_group_name_H-M_alt 'P 1'
_space_group_IT_number 1
_cell_length_a 4.292
_cell_length_b 4.292
_cell_length_c 5.060
_cell_angle_alpha 90.00
_cell_angle_beta 90.00
_cell_angle_gamma 120.00
loop_
_space_group_symop_operation_xyz
'x,y,z'
loop_
_atom_site_label
_atom_site_type_symbol
_atom_site_fract_x
_atom_site_fract_y
_atom_site_fract_z
Hf1 Hf 0.667 0.333 0.250
Hf2 Hf 0.333 0.667 0.750
Co1 Co 0.333 0.667 0.250
Co2 Co 0.667 0.333 0.750
```

* space group: P6_3/mmc, No. 194
* formation energy from the elements: 0.358 eV per atom


Below is an optimized crystal structure of CsFe, with properties calculated at the PBE-GGA level.

The structure in CIF format:
```
data_CsFe
_chemical_formula_sum 'Cs8 Fe8'
_space_group_name_H-M_alt 'P 1'
_space_group_IT_number 1
_cell_length_a 12.749
_cell_length_b 12.749
_cell_length_c 4.381
_cell_angle_alpha 90.00
_cell_angle_beta 90.00
_cell_angle_gamma 90.00
loop_
_space_group_symop_operation_xyz
'x,y,z'
loop_
_atom_site_label
_atom_site_type_symbol
_atom_site_fract_x
_atom_site_fract_y
_atom_site_fract_z
Fe1 Fe 0.500 0.917 0.500
Fe2 Fe 0.500 0.086 0.000
Fe3 Fe 0.914 0.500 0.000
Fe4 Fe 0.086 0.500 0.000
Fe5 Fe 0.917 0.500 0.500
Fe6 Fe 0.500 0.083 0.500
Fe7 Fe 0.500 0.914 0.000
Fe8 Fe 0.083 0.500 0.500
Cs1 Cs 0.327 0.673 0.500
Cs2 Cs 0.327 0.327 0.500
Cs3 Cs 0.000 0.748 0.000
Cs4 Cs 0.252 0.000 0.000
Cs5 Cs 0.673 0.673 0.500
Cs6 Cs 0.000 0.252 0.000
Cs7 Cs 0.673 0.327 0.500
Cs8 Cs 0.748 0.000 0.000
```

* space group: P4/mmm, No. 123
* formation energy from the elements: 0.856 eV per atom